#a
DFT (PBE) results for a relaxed PuTiH2 crystal.

Cell lengths 2.9850, 2.9850, 17.0384 Å; angles 90.00, 90.00, 120.00 degrees
Space group R-3m (No. 166, hexagonal axes)
One atom of each set of equivalent atoms:
Pu 0.0000 0.0000 0.0000 x3
Ti 0.0000 0.0000 0.5000 x3
H 0.0000 0.0000 0.2266 x6

## Properties
Calculated density in g cm⁻³: 11.1

***

#b
DFT (PBE) results for a relaxed PuTiH2 crystal.

Cell lengths 2.9827, 2.9827, 17.2880 Å; angles 90.00, 90.00, 120.00 degrees
Space group R3m (No. 160, hexagonal axes)
One atom of each set of equivalent atoms:
Pu 0.0000 0.0000 0.0000 x3
Ti 0.0000 0.0000 0.1731 x3
H 0.0000 0.0000 0.4382 x3
H 0.0000 0.0000 0.5678 x3

## Properties
Calculated density in g cm⁻³: 11.0

***

#a ends up most stable, edging out the next structure by 0.113 eV/atom.

***

#a
DFT (PBE) results for a relaxed Pu2TlH crystal.

Cell lengths 3.7351, 3.7351, 17.8571 Å; angles 90.00, 90.00, 120.00 degrees
Space group R-3m (No. 166, hexagonal axes)
One atom of each set of equivalent atoms:
Pu 0.0000 0.0000 0.1964 x6
Tl 0.0000 0.0000 0.0000 x3
H 0.0000 0.0000 0.5000 x3

## Properties
Calculated density in g cm⁻³: 16.0

***

#b
DFT (PBE) results for a relaxed Pu2TlH crystal.

Cell lengths 3.1942, 3.1942, 8.0623 Å; angles 90.00, 90.00, 90.00 degrees
Space group P4/mmm (No. 123)
One atom of each set of equivalent atoms:
Pu 0.0000 0.0000 0.1939 x2
Tl 0.5000 0.5000 0.5000 x1
H 0.5000 0.5000 0.0000 x1

## Properties
Calculated density in g cm⁻³: 14.0

***

#b ends up most stable, edging out the next structure by 0.210 eV/atom.

***

#a
DFT (PBE) results for a relaxed Tm2PuH crystal.

Cell lengths 3.2189, 3.2189, 8.3564 Å; angles 90.00, 90.00, 90.00 degrees
Space group P4/mmm (No. 123)
One atom of each set of equivalent atoms:
Tm 0.0000 0.0000 0.1957 x2
Pu 0.5000 0.5000 0.5000 x1
H 0.5000 0.5000 0.0000 x1

## Properties
Calculated density in g cm⁻³: 11.2

***

#b
DFT (PBE) results for a relaxed Tm2PuH crystal.

Cell lengths 3.3800, 3.3800, 27.5503 Å; angles 90.00, 90.00, 120.00 degrees
Space group R-3m (No. 166, hexagonal axes)
One atom of each set of equivalent atoms:
Tm 0.0000 0.0000 0.1183 x6
Pu 0.0000 0.0000 0.0000 x3
H 0.0000 0.0000 0.5000 x3

## Properties
Calculated density in g cm⁻³: 10.7

***

#b ends up most stable, edging out the next structure by 0.092 eV/atom.

***

#a
DFT (PBE) results for a relaxed TmPu2H crystal.

Cell lengths 3.1816, 3.1816, 8.4592 Å; angles 90.00, 90.00, 90.00 degrees
Space group P4/mmm (No. 123)
One atom of each set of equivalent atoms:
Tm 0.0000 0.0000 0.0000 x1
Pu 0.5000 0.5000 0.3231 x2
H 0.0000 0.0000 0.5000 x1

## Properties
Calculated density in g cm⁻³: 12.8

***

#b
DFT (PBE) results for a relaxed TmPu2H crystal.

Cell lengths 3.6816, 3.6816, 18.8034 Å; angles 90.00, 90.00, 120.00 degrees
Space group R-3m (No. 166, hexagonal axes)
One atom of each set of equivalent atoms:
Tm 0.0000 0.0000 0.0000 x3
Pu 0.0000 0.0000 0.1959 x6
H 0.0000 0.0000 0.5000 x3

## Properties
Calculated density in g cm⁻³: 14.8

***

#a ends up most stable, edging out the next structure by 0.023 eV/atom.

***

#a
DFT (PBE) results for a relaxed PuUH crystal.

Cell lengths 3.6712, 3.6712, 3.7328 Å; angles 90.00, 90.00, 120.00 degrees
Space group P3m1 (No. 156)
One atom of each set of equivalent atoms:
Pu 0.0000 0.0000 0.0000 x1
U 0.3333 0.6667 0.6589 x1
H 0.6667 0.3333 0.3130 x1

## Properties
Calculated density in g cm⁻³: 18.4

***

#b
DFT (PBE) results for a relaxed PuUH crystal.

Cell lengths 2.9798, 2.9798, 10.3988 Å; angles 90.00, 90.00, 90.00 degrees
Space group I4mm (No. 107)
One atom of each set of equivalent atoms:
Pu 0.0000 0.0000 0.0000 x2
U 0.0000 0.0000 0.7381 x2
H 0.0000 0.0000 0.3648 x2

## Properties
Calculated density in g cm⁻³: 17.4

***

#a ends up most stable, edging out the next structure by 0.297 eV/atom.

***

#a
DFT (PBE) results for a relaxed PuVH2 crystal.

Cell lengths 3.9114, 3.9114, 2.7786 Å; angles 90.00, 90.00, 90.00 degrees
Space group P4/mmm (No. 123)
One atom of each set of equivalent atoms:
Pu 0.0000 0.0000 0.0000 x1
V 0.5000 0.5000 0.0000 x1
H 0.0000 0.5000 0.5000 x2

## Properties
Calculated density in g cm⁻³: 11.6

***

#b
DFT (PBE) results for a relaxed PuVH2 crystal.

Cell lengths 2.8572, 2.8572, 17.0678 Å; angles 90.00, 90.00, 120.00 degrees
Space group R-3m (No. 166, hexagonal axes)
One atom of each set of equivalent atoms:
Pu 0.0000 0.0000 0.0000 x3
V 0.0000 0.0000 0.5000 x3
H 0.0000 0.0000 0.2217 x6

## Properties
Calculated density in g cm⁻³: 12.3

***

#b ends up most stable, edging out the next structure by 0.388 eV/atom.

***

#a
DFT (PBE) results for a relaxed PuVH3 crystal.

Cell lengths 3.6493, 3.6493, 3.6493 Å; angles 90.00, 90.00, 90.00 degrees
Space group Pm-3m (No. 221)
One atom of each set of equivalent atoms:
Pu 0.0000 0.0000 0.0000 x1
V 0.5000 0.5000 0.5000 x1
H 0.0000 0.5000 0.5000 x3

## Properties
Calculated density in g cm⁻³: 10.2

***

#b
DFT (PBE) results for a relaxed PuVH3 crystal.

Cell lengths 6.3897, 4.8073, 7.8994 Å; angles 90.00, 127.88, 90.00 degrees
Space group P2_1/c (No. 14)
One atom of each set of equivalent atoms:
Pu 0.2204 0.2500 0.1111 x4
V 0.2928 0.7471 0.3964 x4
H 0.0279 0.0282 0.2669 x4
H 0.2799 0.7501 0.1401 x4
H 0.3690 0.1382 0.9348 x4

## Properties
Calculated density in g cm⁻³: 10.3

***

#a ends up most stable, edging out the next structure by 0.025 eV/atom.

***

#a
DFT (PBE) results for a relaxed YPuH crystal.

Cell lengths 3.4918, 3.4918, 5.7540 Å; angles 90.00, 90.00, 120.00 degrees
Space group P3m1 (No. 156)
One atom of each set of equivalent atoms:
Y 0.0000 0.0000 0.0000 x1
Pu 0.3333 0.6667 0.4926 x1
H 0.6667 0.3333 0.2387 x1

## Properties
Calculated density in g cm⁻³: 9.1

***

#b
DFT (PBE) results for a relaxed YPuH crystal.

Cell lengths 3.2453, 3.2453, 11.8770 Å; angles 90.00, 90.00, 90.00 degrees
Space group I4mm (No. 107)
One atom of each set of equivalent atoms:
Y 0.0000 0.0000 0.0000 x2
Pu 0.0000 0.0000 0.2791 x2
H 0.0000 0.0000 0.4710 x2

## Properties
Calculated density in g cm⁻³: 8.9

***

#c
DFT (PBE) results for a relaxed YPuH crystal.

Cell lengths 3.7366, 5.3854, 10.9340 Å; angles 90.00, 90.00, 90.00 degrees
Space group Imma (No. 74)
One atom of each set of equivalent atoms:
Y 0.0000 0.2500 0.1051 x4
Pu 0.0000 0.2500 0.6884 x4
H 0.0000 0.2500 0.3034 x4

## Properties
Calculated density in g cm⁻³: 10.1

***

#a ends up most stable, edging out the next structure by 0.074 eV/atom.

***

#a
DFT (PBE) results for a relaxed YPuH2 crystal.

Cell lengths 3.4241, 3.4241, 17.9314 Å; angles 90.00, 90.00, 120.00 degrees
Space group R3m (No. 160, hexagonal axes)
One atom of each set of equivalent atoms:
Y 0.0000 0.0000 0.0000 x3
Pu 0.0000 0.0000 0.1765 x3
H 0.0000 0.0000 0.4098 x3
H 0.0000 0.0000 0.5959 x3

## Properties
Calculated density in g cm⁻³: 9.2

***

#b
DFT (PBE) results for a relaxed YPuH2 crystal.

Cell lengths 3.4480, 3.4480, 17.2477 Å; angles 90.00, 90.00, 120.00 degrees
Space group R-3m (No. 166, hexagonal axes)
One atom of each set of equivalent atoms:
Y 0.0000 0.0000 0.0000 x3
Pu 0.0000 0.0000 0.5000 x3
H 0.0000 0.0000 0.2570 x6

## Properties
Calculated density in g cm⁻³: 9.4

***

#b ends up most stable, edging out the next structure by 0.109 eV/atom.

***

#a
DFT (PBE) results for a relaxed Pu2ZnH crystal.

Cell lengths 2.6453, 2.6453, 29.1549 Å; angles 90.00, 90.00, 120.00 degrees
Space group R-3m (No. 166, hexagonal axes)
One atom of each set of equivalent atoms:
Pu 0.0000 0.0000 0.1080 x6
Zn 0.0000 0.0000 0.0000 x3
H 0.0000 0.0000 0.5000 x3

## Properties
Calculated density in g cm⁻³: 15.6

***

#b
DFT (PBE) results for a relaxed Pu2ZnH crystal.

Cell lengths 3.0489, 3.0489, 7.6164 Å; angles 90.00, 90.00, 90.00 degrees
Space group P4/mmm (No. 123)
One atom of each set of equivalent atoms:
Pu 0.0000 0.0000 0.2086 x2
Zn 0.5000 0.5000 0.5000 x1
H 0.5000 0.5000 0.0000 x1

## Properties
Calculated density in g cm⁻³: 13.0

***

#b ends up most stable, edging out the next structure by 0.303 eV/atom.

***

#a
DFT (PBE) results for a relaxed Pu2ZrH crystal.

Cell lengths 3.1650, 3.1650, 27.6559 Å; angles 90.00, 90.00, 120.00 degrees
Space group R-3m (No. 166, hexagonal axes)
One atom of each set of equivalent atoms:
Pu 0.0000 0.0000 0.1114 x6
Zr 0.0000 0.0000 0.0000 x3
H 0.0000 0.0000 0.5000 x3

## Properties
Calculated density in g cm⁻³: 12.0

***

#b
DFT (PBE) results for a relaxed Pu2ZrH crystal.

Cell lengths 3.1222, 3.1222, 7.9979 Å; angles 90.00, 90.00, 90.00 degrees
Space group P4/mmm (No. 123)
One atom of each set of equivalent atoms:
Pu 0.0000 0.0000 0.1893 x2
Zr 0.5000 0.5000 0.5000 x1
H 0.5000 0.5000 0.0000 x1

## Properties
Calculated density in g cm⁻³: 12.4

***

#b ends up most stable, edging out the next structure by 0.103 eV/atom.

***

#a
DFT (PBE) results for a relaxed Rb4H crystal.

Cell lengths 15.2325, 7.3175, 14.1847 Å; angles 90.00, 117.48, 90.00 degrees
Space group C2/c (No. 15)
One atom of each set of equivalent atoms:
Rb 0.1165 0.0145 0.4215 x8
Rb 0.1172 0.4559 0.1934 x8
H 0.0000 0.2365 0.2500 x4

## Properties
Calculated density in g cm⁻³: 1.6

***

#b
DFT (PBE) results for a relaxed Rb4H crystal.

Cell lengths 6.6980, 6.6980, 6.6980 Å; angles 90.00, 90.00, 90.00 degrees
Space group Pm-3m (No. 221)
One atom of each set of equivalent atoms:
Rb 0.0000 0.0000 0.0000 x1
Rb 0.0000 0.5000 0.5000 x3
H 0.5000 0.5000 0.5000 x1

## Properties
Calculated density in g cm⁻³: 1.9

***

#a ends up most stable, edging out the next structure by 0.053 eV/atom.

***

#a
DFT (PBE) results for a relaxed RbReH3 crystal.

Cell lengths 3.8838, 3.8838, 3.8838 Å; angles 90.00, 90.00, 90.00 degrees
Space group Pm-3m (No. 221)
One atom of each set of equivalent atoms:
Rb 0.0000 0.0000 0.0000 x1
Re 0.5000 0.5000 0.5000 x1
H 0.0000 0.5000 0.5000 x3

## Properties
Calculated density in g cm⁻³: 7.8

***

#b
DFT (PBE) results for a relaxed RbReH3 crystal.

Cell lengths 4.1315, 4.1315, 4.1315 Å; angles 90.00, 90.00, 90.00 degrees
Space group Pm-3m (No. 221)
One atom of each set of equivalent atoms:
Rb 0.0000 0.0000 0.0000 x1
Re 0.5000 0.5000 0.5000 x1
H 0.0000 0.0000 0.5000 x3

## Properties
Calculated density in g cm⁻³: 6.5

***

#a ends up most stable, edging out the next structure by 1.879 eV/atom.

***

#a
DFT (PBE) results for a relaxed Rb2ReH crystal.

Cell lengths 12.4755, 12.4755, 3.5444 Å; angles 90.00, 90.00, 90.00 degrees
Space group I-42d (No. 122)
One atom of each set of equivalent atoms:
Rb 0.0605 0.2500 0.1250 x8
Re 0.0000 0.0000 0.5000 x4
H 0.0000 0.0000 0.0000 x4

## Properties
Calculated density in g cm⁻³: 4.3

***

#b
DFT (PBE) results for a relaxed Rb2ReH crystal.

Cell lengths 8.3578, 8.3578, 8.3578 Å; angles 90.00, 90.00, 90.00 degrees
Space group Fm-3m (No. 225)
One atom of each set of equivalent atoms:
Rb 0.2500 0.2500 0.2500 x8
Re 0.0000 0.0000 0.0000 x4
H 0.0000 0.0000 0.5000 x4

## Properties
Calculated density in g cm⁻³: 4.1

***

#a ends up most stable, edging out the next structure by 0.524 eV/atom.